1.
A relaxed LaTbNdTh crystal, computed with GGA-PBE.

a b c (Å): 3.6189 3.6189 10.4355
angles (deg): 90.00 90.00 90.00
Closest atoms and distances in Å follow each position.
Positions (direct):
Tb1 0.5000 0.5000 0.3358  4 Th 3.52, 4 Tb 3.62, 4 La 3.73
Nd1 0.5000 0.5000 0.8058  4 Th 3.57, 4 Nd 3.62, 4 La 3.81
La1 0.0000 0.0000 0.0757  4 La 3.62, 4 Tb 3.73, 4 Nd 3.81
Th1 0.0000 0.0000 0.5674  4 Tb 3.52, 4 Nd 3.57, 4 Th 3.62

Computed properties:
- Calculated density: 8.19 Mg/m³
- Size of the total moment: 0.000 μB/atom
- Formation energy: 0.1 eV/f.u.
- Offset from the most stable computed form: 0 meV per atom
- Space group: P4mm, No. 99



2.
A relaxed HgP2W crystal, computed with GGA-PBE.

a b c (Å): 5.4901 5.4901 5.4901
angles (deg): 140.36 140.36 57.31
Closest atoms and distances in Å follow each position.
Positions (direct):
W1 0.5000 0.5000 0.0000  4 P 2.63
P1 0.0000 0.0000 0.0000  4 W 2.63
P2 0.2500 0.7500 0.5000  4 Hg 2.63
Hg1 0.7500 0.2500 0.5000  4 P 2.63

Computed properties:
- Calculated density: 11.10 Mg/m³
- Size of the total moment: 0.000 μB/atom
- Formation energy: 3.4 eV/f.u.
- Space group: I-4m2, No. 119



3.
A relaxed NpICl3 crystal, computed with GGA-PBE.

a b c (Å): 4.1257 9.6755 9.9913
angles (deg): 90.00 90.00 90.00
Closest atoms and distances in Å follow each position.
Positions (direct):
Cl1 0.4999 0.0331 0.2500  1 Np 2.49
Np1 0.5001 0.2242 0.7500  5 Cl 2.49-2.71
Cl2 0.5001 0.9669 0.7500  1 Np 2.49
Cl3 0.0000 0.7732 0.4252  2 Np 2.70-2.71
Np2 0.4999 0.7758 0.2500  5 Cl 2.49-2.71
I1 0.5000 0.5251 0.7500  1 Np 2.91
Cl4 0.0000 0.2268 0.5748  2 Np 2.70-2.71
I2 0.5000 0.4749 0.2500  1 Np 2.91
Cl5 0.0000 0.7732 0.0748  2 Np 2.70-2.71
Cl6 0.0000 0.2268 0.9252  2 Np 2.70-2.71

Computed properties:
- Calculated density: 3.92 Mg/m³
- Size of the total moment: 0.600 μB/atom
- Space group: Pmma, No. 51
- Formation energy (no corrections): -31.881 kcal/mol of atoms



4.
A relaxed HfTl2BiO6 crystal, computed with GGA-PBE.

a b c (Å): 6.0169 7.5007 7.5007
angles (deg): 87.80 84.89 84.89
Closest atoms and distances in Å follow each position.
Positions (direct):
O1 0.8470 0.7193 0.5294  1 Hf 2.07, 2 Tl 2.25-2.26
Hf1 0.7500 0.7292 0.2708  6 O 2.07-2.16
Hf2 0.2500 0.2708 0.7292  6 O 2.07-2.16
O2 0.6231 0.7765 0.0109  1 Hf 2.16, 1 Tl 2.26, 1 Bi 2.40
O3 0.1231 0.0109 0.7765  1 Hf 2.16, 1 Tl 2.26, 1 Bi 2.40
Bi1 0.2500 0.9014 0.0986  4 O 2.23-2.40
Tl1 0.3060 0.4125 0.2196  4 O 2.25-2.26
O4 0.3769 0.2235 0.9891  1 Hf 2.16, 1 Tl 2.26, 1 Bi 2.40
O5 0.8769 0.9891 0.2235  1 Hf 2.16, 1 Tl 2.26, 1 Bi 2.40
O6 0.4263 0.8462 0.3461  1 Hf 2.10, 1 Bi 2.23, 1 Tl 2.25
Tl2 0.1940 0.7804 0.5875  4 O 2.25-2.26
O7 0.9263 0.3461 0.8462  1 Hf 2.10, 1 Bi 2.23, 1 Tl 2.25
O8 0.6530 0.4706 0.2807  1 Hf 2.07, 2 Tl 2.25-2.26
O9 0.3470 0.5294 0.7193  1 Hf 2.07, 2 Tl 2.25-2.26
Tl3 0.8060 0.2196 0.4125  4 O 2.25-2.26
O10 0.1530 0.2807 0.4706  1 Hf 2.07, 2 Tl 2.25-2.26
O11 0.0737 0.6539 0.1538  1 Hf 2.10, 1 Bi 2.23, 1 Tl 2.25
O12 0.5737 0.1538 0.6539  1 Hf 2.10, 1 Bi 2.23, 1 Tl 2.25
Tl4 0.6940 0.5875 0.7804  4 O 2.25-2.26
Bi2 0.7500 0.0986 0.9014  4 O 2.23-2.40

Computed properties:
- Calculated density: 8.83 Mg/m³
- Size of the total moment: 0.000 μB/atom
- Space group: C2/c, No. 15
- Formation energy (no corrections): -35.427 kcal/mol of atoms